Entry 1:
The following is a PBE calculation of a geometry-optimized Pr2PdPt2 structure, from Alexandria.

The formation energy is -0.948 eV per atom. Its distance to the lowest polymorph of the same formula is 0.0 meV/atom. The density of states at the Fermi level comes out at 10.4 states/eV per cell.

It has space group C2/m (No. 12), with a = 11.2317 Å, b = 4.2181 Å, c = 11.0335 Å, α = 90.00°, β = 117.18° and γ = 90.00°. The asymmetric unit holds Pr at (0.0194, 0.0000, 0.3419), Pr at (0.1893, 0.0000, 0.1083), Pd at (0.2082, 0.5000, 0.3252), Pt at (0.0453, 0.5000, 0.8965) and Pt at (0.1327, 0.5000, 0.5706).

=====

Entry 2:
The following is a PBE calculation of a geometry-optimized Pr3Pd2Pt structure, from Alexandria.

The formation energy is -0.788 eV per atom. Its distance to the lowest polymorph of the same formula is 41.3 meV/atom. The density of states at the Fermi level comes out at 16.2 states/eV per cell.

It has space group C2/c (No. 15), with a = 13.4319 Å, b = 5.9848 Å, c = 8.4660 Å, α = 90.00°, β = 108.49° and γ = 90.00°. The asymmetric unit holds Pr at (0.0000, 0.0015, 0.2500), Pr at (0.1634, 0.4979, 0.0817), Pd at (0.1676, 0.0022, 0.5838) and Pt at (0.0000, 0.4986, 0.7500).

=====

Entry 3:
The following is a PBE calculation of a geometry-optimized Pr3Pd4Pt4 structure, from Alexandria.

The formation energy is -0.471 eV per atom. The density of states at the Fermi level comes out at 15.5 states/eV per cell.

It has space group I-43m (No. 217), with a = 7.9017 Å, b = 7.9017 Å, c = 7.9017 Å, α = 90.00°, β = 90.00° and γ = 90.00°. The asymmetric unit holds Pr at (0.0000, 0.0000, 0.5000), Pd at (0.1222, 0.1222, 0.8778) and Pt at (0.1969, 0.1969, 0.1969).